1.
VASP calculation (PBE) on crystalline CeY12Er3 at its relaxed geometry.

The calculation puts the total magnetization at 1.039 μB per cell. The density of states at the Fermi level comes out at 1.53 states/eV per atom. The total energy is -6.0360 eV/atom.

The structure in POSCAR format:
```
CeY12Er3
1.0
-3.265 2.973 2.427
-3.620 -1.328 -3.244
-5.096 -15.380 11.985
Ce Y Er
1 12 3
Cartesian
0.000 0.000 0.000
-3.443 0.823 -0.408
-4.724 -3.044 2.605
-5.991 -6.867 5.584
-7.257 -10.690 8.563
-2.268 -0.431 2.708
-3.543 -4.280 5.707
-4.818 -8.126 8.704
-6.093 -11.976 11.704
-2.445 -2.581 -0.128
-3.721 -6.431 2.872
-4.995 -10.277 5.869
-6.271 -14.127 8.869
-1.271 -3.837 2.990
-2.548 -7.690 5.992
-3.824 -11.543 8.995
```


2.
VASP calculation (PBE) on crystalline CeYEr at its relaxed geometry.

The calculation puts the total magnetization at 0.676 μB per cell. The density of states at the Fermi level comes out at 2.18 states/eV per atom. The value obtained for the excess energy over the best structure of this formula in the dataset is 0.0 meV per atom. The total energy is -5.5868 eV/atom.

The structure in POSCAR format:
```
CeYEr
1.0
-0.298 -1.249 3.271
3.028 1.430 -1.066
-2.696 7.726 2.704
Y Ce Er
1 1 1
Cartesian
-0.005 0.014 0.005
-0.093 2.236 2.732
0.133 5.658 2.172
```


Number 1: formation enthalpy at 0 K 38 meV per atom, calculated volume 32.0 Å³/atom. Number 2: formation enthalpy at 0 K 67 meV per atom, calculated volume 30.7 Å³/atom.